Density functional theory data (PBE-GGA) for CdB2Rh2 after structural relaxation.

Output
Formation enthalpy at 0 K: -128 meV/atom
D(E_F): 2.1 states/eV/cell
Space-group type: P-1

a b c (Å): 5.659 6.258 5.225
angles (deg): 109.63 93.08 127.03
Fractional positions:
Cd  0.101  0.899  0.219
Cd  0.899  0.101  0.781
B  0.555  0.286  0.046
B  0.213  0.452  0.558
B  0.445  0.714  0.954
B  0.787  0.548  0.442
Rh  0.747  0.166  0.286
Rh  0.542  0.435  0.731
Rh  0.458  0.565  0.269
Rh  0.253  0.834  0.714

Density functional theory data (PBE-GGA) for Ca4InSb after structural relaxation.

Output
Raw formation energy: -582 meV/atom
D(E_F): 4.4 states/eV/cell
Space-group type: P4/mmm
Offset from the most stable computed form: 0 meV/atom

a b c (Å): 7.577 7.576 9.255
angles (deg): 114.16 114.16 90.00
Fractional positions:
Ca  0.370  0.871  0.741
Ca  0.629  0.629  0.259
Ca  0.630  0.129  0.259
Ca  0.371  0.371  0.741
Ca  0.870  0.870  0.741
Ca  0.129  0.630  0.259
Ca  0.130  0.130  0.259
Ca  0.871  0.370  0.741
In  0.500  0.000  0.500
In  0.000  0.500  0.500
Sb  0.750  0.750  0.000
Sb  0.250  0.250  0.000

Density functional theory data (PBE-GGA) for HoTiGa after structural relaxation.

Output
Formation enthalpy at 0 K: -403 meV/atom
D(E_F): 7.2 states/eV/cell
Space-group type: P4/nmm
Offset from the most stable computed form: 0 meV/atom

a b c (Å): 4.090 4.090 7.698
angles (deg): 90.00 90.00 90.00
Fractional positions:
Ho  0.000  0.500  0.842
Ho  0.500  0.000  0.158
Ga  0.000  0.500  0.256
Ga  0.500  0.000  0.744
Ti  0.500  0.500  0.500
Ti  0.000  0.000  0.500

Density functional theory data (PBE-GGA) for La2Zn4CuPt3 after structural relaxation.

Output
Formation enthalpy at 0 K: -678 meV/atom
D(E_F): 5.2 states/eV/cell
Space-group type: P-4m2

a b c (Å): 4.297 4.297 10.614
angles (deg): 90.00 90.00 90.00
Fractional positions:
La  0.500  0.000  0.254
La  0.000  0.500  0.746
Zn  0.500  0.500  0.000
Zn  0.000  0.000  0.000
Zn  0.500  0.000  0.623
Zn  0.000  0.500  0.377
Cu  0.500  0.500  0.500
Pt  0.000  0.000  0.500
Pt  0.500  0.000  0.862
Pt  0.000  0.500  0.138

Density functional theory data (PBE-GGA) for Cu2SnBr after structural relaxation.

Output
Raw formation energy: 538 meV/atom
D(E_F): 11.1 states/eV/cell
Space-group type: Fm-3m
Offset from the most stable computed form: 383 meV/atom

a b c (Å): 4.824 4.824 4.824
angles (deg): 60.00 60.00 60.00
Fractional positions:
Cu  0.250  0.250  0.250
Cu  0.750  0.750  0.750
Sn  0.500  0.500  0.500
Br  0.000  0.000  0.000

Density functional theory data (PBE-GGA) for NiPRh2 after structural relaxation.

Output
Formation enthalpy at 0 K: 3 meV/atom
D(E_F): 4.7 states/eV/cell
Space-group type: C2/m
Offset from the most stable computed form: 298 meV/atom

a b c (Å): 4.982 4.982 2.755
angles (deg): 74.19 74.19 115.54
Fractional positions:
Ni  0.000  0.000  0.500
P  0.500  0.500  0.500
Rh  0.000  0.500  0.000
Rh  0.500  0.000  0.000

Density functional theory data (PBE-GGA) for Mn5VRu6 after structural relaxation.

Output
Formation enthalpy at 0 K: -41 meV/atom
D(E_F): 7.9 states/eV/cell
Space-group type: Cmmm

a b c (Å): 4.248 6.003 6.712
angles (deg): 90.00 108.46 90.00
Last column: magnetic moment on the atom in μB.
Fractional positions:
Ru  0.834  0.750  0.668  0.03
Ru  0.834  0.250  0.668  0.03
Ru  0.500  0.248  0.000  -0.02
Ru  0.500  0.752  0.000  -0.02
Ru  0.166  0.750  0.332  0.03
Ru  0.166  0.250  0.332  0.03
Mn  0.666  0.500  0.332  3.11
Mn  0.333  0.000  0.665  3.10
Mn  0.000  0.500  0.000  3.15
Mn  0.667  0.000  0.335  3.10
Mn  0.334  0.500  0.668  3.11
V  0.000  0.000  0.000  0.28

Density functional theory data (PBE-GGA) for BaTcBi3 after structural relaxation.

Output
Formation enthalpy at 0 K: 2024 meV/atom
D(E_F): 9.8 states/eV/cell
Space-group type: Pm-3m
Offset from the most stable computed form: 1935 meV/atom

a b c (Å): 6.201 6.201 6.201
angles (deg): 90.00 90.00 90.00
Last column: magnetic moment on the atom in μB.
Fractional positions:
Tc  0.500  0.500  0.500  0.16
Bi  0.000  0.500  0.000  -0.03
Bi  0.000  0.000  0.500  -0.04
Bi  0.500  0.000  0.000  -0.02
Ba  0.000  0.000  0.000  -0.01

Density functional theory data (PBE-GGA) for Zn3GeO after structural relaxation.

Output
Raw formation energy: 563 meV/atom
D(E_F): 4.6 states/eV/cell
Space-group type: Pm-3m
Offset from the most stable computed form: 634 meV/atom

a b c (Å): 4.669 4.669 4.669
angles (deg): 90.00 90.00 90.00
Last column: magnetic moment on the atom in μB.
Fractional positions:
Ge  0.000  0.000  0.000  0.00
Zn  0.000  0.500  0.000  0.01
Zn  0.000  0.000  0.500  0.02
Zn  0.500  0.000  0.000  0.01
O  0.500  0.500  0.500  -0.13

Density functional theory data (PBE-GGA) for Tl2PPb2 after structural relaxation.

Output
Formation enthalpy at 0 K: 486 meV/atom
D(E_F): 3.5 states/eV/cell
Space-group type: I4/mmm
Offset from the most stable computed form: 401 meV/atom

a b c (Å): 4.265 4.265 9.235
angles (deg): 76.65 76.65 90.00
Fractional positions:
Pb  0.750  0.250  0.500
Pb  0.250  0.750  0.500
P  0.000  0.000  0.000
Tl  0.414  0.414  0.172
Tl  0.586  0.586  0.828

Density functional theory data (PBE-GGA) for KZn2Te after structural relaxation.

Output
Raw formation energy: -178 meV/atom
D(E_F): 0.7 states/eV/cell
Space-group type: Imm2

a b c (Å): 5.896 5.896 5.896
angles (deg): 137.50 110.05 85.40
Fractional positions:
K  0.513  0.513  0.000
Te  0.184  0.684  0.500
Zn  0.985  0.985  0.000
Zn  0.819  0.319  0.500

Density functional theory data (PBE-GGA) for PrY5Er6 after structural relaxation.

Output
Formation enthalpy at 0 K: 25 meV/atom
D(E_F): 17.0 states/eV/cell
Space-group type: C2/m

a b c (Å): 11.773 6.151 6.147
angles (deg): 59.98 85.02 80.01
Fractional positions:
Pr  0.000  0.000  0.000
Y  0.500  0.167  0.666
Y  0.000  0.333  0.333
Y  0.500  0.500  0.000
Y  0.000  0.667  0.667
Y  0.500  0.833  0.334
Er  0.749  0.084  0.333
Er  0.251  0.583  0.333
Er  0.251  0.250  0.000
Er  0.749  0.750  0.000
Er  0.749  0.417  0.667
Er  0.251  0.916  0.667